## Cs2VAgF6 (GGA+U)

Data for an optimized crystal structure of Cs2VAgF6.

a b c (Å): 11.034 6.378 6.397
angles (deg): 90.00 125.22 90.00
Space group C2/m (No. 12)
Asymmetric unit:
Cs  0.249  0.000  0.248 x4
V  0.000  0.500  0.000 x2
Ag  0.000  0.000  0.500 x2
F  0.001  0.280  0.221 x8
F  0.221  0.500  0.222 x4

Summary:
**Final energy**: -4.861 eV/atom
**DOS(E_F)**: 0.00 states/eV/cell